No. 1
NaTl2CuBr6: optimized geometry, PBE-GGA.

Geometry as POSCAR:
```
NaTl2CuBr6
1.0
-0.7800 7.0901 -2.4410
-7.3184 -1.2968 -1.4281
-1.6970 -3.9132 12.2496
Tl Br Na Cu
4 12 2 2
Cartesian
-8.2172 -2.2481 7.1523
-4.8446 0.1557 1.5201
-4.9507 1.7244 6.8603
-1.5782 4.1283 1.2281
-4.9083 -2.4828 7.8871
-4.8871 4.3629 0.4933
-6.1624 -0.6753 4.9854
-6.3629 1.0954 -1.3440
-7.4102 0.9008 8.9127
-3.6330 2.5555 3.3950
-2.5627 -0.8583 5.7234
-9.1997 1.7925 5.9421
-0.5956 0.0876 2.4383
-3.4325 0.7848 9.7245
-7.2326 2.7385 2.6570
-2.3851 0.9794 -0.5323
-4.0492 2.8967 -1.9346
-1.2385 1.5885 4.9043
0.0000 0.0000 0.0000
-4.5077 -2.6050 5.4107
```

total DFT energy (no corrections) = -52.57 eV/cell
volume = 302.5 Å³/f.u.

No. 2
TlAuSe: optimized geometry, PBE-GGA.

Geometry as POSCAR:
```
TlAuSe
1.0
4.6544 0.0000 0.0000
-0.0058 5.4976 0.0000
-0.0058 -0.0005 6.8916
Tl Se Au
2 2 2
Cartesian
2.3159 3.9682 5.1687
2.3269 1.5289 1.7229
-0.0023 3.7386 1.7228
4.6451 1.7585 5.1687
-0.0029 -0.0002 3.4458
0.0000 0.0000 0.0000
```

total DFT energy (no corrections) = -19.90 eV/cell
volume = 88.2 Å³/f.u.

No. 3
ZrGe4Pt3: optimized geometry, PBE-GGA.

Geometry as POSCAR:
```
ZrGe4Pt3
1.0
-1.7508 2.9923 4.7877
0.2084 -3.1793 2.0632
6.0647 1.3021 1.3939
Pt Zr Ge
3 1 4
Cartesian
0.2192 1.7493 6.1650
4.2811 0.9260 0.9946
0.3084 0.1435 3.6816
4.0241 2.5852 3.5771
1.2618 2.5873 3.8593
0.3188 0.6787 1.0136
3.0456 0.0267 3.2252
4.2133 2.1223 6.3365
```

total moment = 0.01 Bohr magnetons per cell
total DFT energy (no corrections) = -48.88 eV/cell
volume = 142.6 Å³/f.u.

No. 4
NdYOs: optimized geometry, PBE-GGA.

Geometry as POSCAR:
```
NdYOs
1.0
4.1497 0.3971 2.3365
0.2727 -1.2253 4.6110
2.4002 -3.9254 1.2913
Nd Os Y
1 1 1
Cartesian
1.7057 -1.1884 2.0597
5.1170 -3.5652 6.1791
0.0000 0.0000 0.0000
```

total moment = 0.00 Bohr magnetons per cell
energy of formation from the pure elements = 2.242 eV/f.u.
total DFT energy (no corrections) = -20.21 eV/cell
volume = 77.2 Å³/f.u.

No. 5
Er3Co29Si4B10: optimized geometry, PBE-GGA.

Geometry as POSCAR:
```
Er3Co29Si4B10
1.0
11.1028 0.0000 0.0000
0.0000 11.1028 0.0000
0.0000 0.0000 7.7990
Co B Er Si
58 20 6 8
Cartesian
5.5514 8.5669 3.6823
9.2696 5.5514 0.2426
5.5514 4.3273 6.9270
7.3441 7.4877 5.1810
7.3441 3.6151 5.1810
9.3102 1.9363 2.6181
1.2902 4.2612 5.8763
5.5514 6.7755 6.9270
9.8126 6.8416 5.8763
5.5514 2.5359 3.6823
0.0000 3.0155 4.1167
3.6151 7.3441 2.6181
1.2207 6.7721 2.3642
4.2612 9.8126 1.9227
4.3273 5.5514 0.8720
0.0000 5.5514 4.1857
0.0000 9.8787 0.8720
9.8821 4.3307 2.3642
0.0000 7.3847 0.2426
3.7181 0.0000 7.5564
4.3307 1.2207 5.4348
8.0873 0.0000 3.6823
8.5669 5.5514 4.1167
1.9363 1.7926 5.1810
7.4877 7.3441 2.6181
2.5359 5.5514 4.1167
0.0000 8.0873 4.1167
0.0000 1.2241 0.8720
6.7721 9.8821 5.4348
9.8787 0.0000 6.9270
6.7721 1.2207 5.4348
1.2241 0.0000 6.9270
7.4877 3.7588 2.6181
1.7926 1.9363 2.6181
0.0000 3.7181 0.2426
9.1665 1.7926 5.1810
1.2902 6.8416 5.8763
6.8416 9.8126 1.9227
6.8416 1.2902 1.9227
5.5514 9.2696 7.5564
7.3847 0.0000 7.5564
1.7926 9.1665 2.6181
3.0155 0.0000 3.6823
5.5514 1.8333 7.5564
4.3307 9.8821 5.4348
9.3102 9.1665 2.6181
1.2207 4.3307 2.3642
3.7588 3.6151 5.1810
3.6151 3.7588 2.6181
9.1665 9.3102 5.1810
6.7755 5.5514 0.8720
4.2612 1.2902 1.9227
5.5514 0.0000 3.6133
3.7588 7.4877 5.1810
1.8333 5.5514 0.2426
1.9363 9.3102 5.1810
9.8126 4.2612 5.8763
9.8821 6.7721 2.3642
5.5514 0.0000 6.6319
5.5514 0.0000 0.8226
0.0000 2.7081 2.0663
2.0651 7.6165 4.0485
0.0000 5.5514 1.1672
8.3947 0.0000 5.7327
5.5514 2.8433 5.7327
3.4863 2.0651 3.7505
0.0000 8.3947 2.0663
2.0651 3.4863 4.0485
9.0377 7.6165 4.0485
2.7081 0.0000 5.7327
2.8433 5.5514 2.0663
5.5514 8.2595 5.7327
3.4863 9.0377 3.7505
7.6165 2.0651 3.7505
8.2595 5.5514 2.0663
0.0000 5.5514 6.9765
7.6165 9.0377 3.7505
9.0377 3.4863 4.0485
8.3271 2.7757 0.0000
8.3271 8.3271 0.0000
2.7757 2.7757 0.0000
2.7757 8.3271 0.0000
5.5514 5.5514 3.8995
0.0000 0.0000 3.8995
7.5745 5.5514 6.4377
0.0000 2.0231 6.4377
9.0797 0.0000 1.3613
2.0231 0.0000 1.3613
5.5514 7.5745 1.3613
3.5283 5.5514 6.4377
0.0000 9.0797 6.4377
5.5514 3.5283 1.3613
```

total moment = 35.21 Bohr magnetons per cell
total DFT energy (no corrections) = -655.35 eV/cell
volume = 480.7 Å³/f.u.

No. 6
NiP: optimized geometry, PBE-GGA.

Geometry as POSCAR:
```
NiP
1.0
-2.2844 4.8025 -2.4733
-5.8263 0.6067 -0.2928
0.0157 2.2735 4.3999
P Ni
6 6
Cartesian
-1.6242 4.4039 0.7982
-3.8613 0.6264 -0.0294
-4.2400 6.1483 -0.0939
-6.4770 2.3709 -0.9214
-3.3819 3.9530 -0.9162
-4.7146 3.5018 2.1090
-3.0627 2.5521 0.8408
-5.6228 1.6534 1.1574
-2.4688 6.5170 1.4205
-2.6544 4.1632 2.7942
-5.4364 4.1352 0.0313
-5.0281 5.7463 1.9847
```

total moment = 0.01 Bohr magnetons per cell
total DFT energy (no corrections) = -70.84 eV/cell
volume = 24.7 Å³/f.u.

No. 7
MgAlAg2: optimized geometry, PBE-GGA.

Geometry as POSCAR:
```
MgAlAg2
1.0
5.9185 0.0000 0.0000
0.0000 7.5408 0.0000
0.0000 0.0000 6.5440
Ag Al Mg
8 4 4
Cartesian
2.7081 3.4380 5.1347
0.2511 0.3324 1.8627
3.2104 4.1028 1.4093
5.6674 7.2084 4.6813
3.2104 7.2084 1.4093
2.7081 0.3324 5.1347
5.6674 4.1028 4.6813
0.2511 3.4380 1.8627
1.9666 1.8852 0.6737
4.9259 5.6556 2.5983
3.9519 5.6556 5.8703
0.9926 1.8852 3.9457
1.8903 5.6556 3.4301
4.8496 1.8852 6.3859
1.0690 5.6556 0.1581
4.0282 1.8852 3.1139
```

energy relative to the lowest polymorph listed for this composition = 0.074 eV per atom
total DFT energy (no corrections) = -45.52 eV/cell
volume = 73.0 Å³/f.u.

No. 8
PrSiAs3: optimized geometry, PBE-GGA.

Geometry as POSCAR:
```
PrSiAs3
1.0
6.0298 0.0000 0.0000
0.0000 26.5921 0.0000
0.0000 0.0000 5.9293
As Si Pr
24 8 8
Cartesian
4.3131 26.5584 3.1921
5.6859 18.9325 4.3511
2.9572 7.7356 4.3543
3.3589 5.6364 1.3864
0.0909 9.9813 4.4505
0.1462 3.2521 1.4851
1.7219 0.0332 2.8032
0.3440 7.6596 1.3864
5.9721 5.5604 4.3543
1.7168 0.0337 0.2274
1.2982 13.3298 3.1921
0.0577 21.0317 1.3896
4.7368 13.2628 2.8032
3.1058 3.3148 4.4505
4.7317 13.2623 0.2274
1.2930 13.3293 5.7678
4.3079 26.5589 5.7678
2.8687 16.5481 4.4498
2.9240 23.2773 1.4858
2.6710 20.9557 4.3511
5.8836 23.3401 4.4498
5.9389 16.6108 1.4858
3.0726 18.8565 1.3896
3.1611 10.0440 1.4851
5.6348 5.4695 1.9973
0.3950 21.1226 4.9619
3.4099 18.7655 4.9619
3.6910 5.5272 4.9579
2.3388 21.0649 1.9932
5.3537 18.8233 1.9932
0.6761 7.7688 4.9579
2.6199 7.8266 1.9973
0.1210 10.7869 1.5003
2.8939 24.0830 4.4649
5.9109 24.2039 1.5037
3.1338 10.9078 4.4684
0.1189 2.3882 4.4684
2.8960 15.6843 1.5037
5.9088 15.8052 4.4649
3.1359 2.5092 1.5003
```

total moment = 0.00 Bohr magnetons per cell
total DFT energy (no corrections) = -217.73 eV/cell
volume = 118.8 Å³/f.u.

No. 9
TaSiW: optimized geometry, PBE-GGA.

Geometry as POSCAR:
```
TaSiW
1.0
0.0000 2.9741 2.9741
2.9741 0.0000 2.9741
2.9741 2.9741 0.0000
Si Ta W
1 1 1
Cartesian
0.0000 0.0000 0.0000
1.4870 1.4870 1.4870
4.4612 4.4612 4.4612
```

total moment = 0.00 Bohr magnetons per cell
total DFT energy (no corrections) = -29.25 eV/cell
volume = 52.6 Å³/f.u.

No. 10
BeCdGePt: optimized geometry, PBE-GGA.

Geometry as POSCAR:
```
BeCdGePt
1.0
2.2908 2.2383 3.0938
-2.1336 1.8669 3.4338
0.4568 -1.6947 4.0925
Pt Be Cd Ge
1 1 1 1
Cartesian
0.3070 1.2052 5.3100
0.4605 1.8078 7.9651
0.0000 0.0000 0.0000
0.1535 0.6026 2.6550
```

total moment = 0.00 Bohr magnetons per cell
energy relative to the lowest polymorph listed for this composition = 0.000 eV per atom
total DFT energy (no corrections) = -14.79 eV/cell
volume = 62.4 Å³/f.u.

No. 11
LaUIn: optimized geometry, PBE-GGA.

Geometry as POSCAR:
```
LaUIn
1.0
4.1292 -0.5819 3.2638
1.6074 4.0663 2.9871
-0.7602 -0.1005 5.2396
U La In
1 1 1
Cartesian
3.7323 2.5379 8.6179
1.2441 0.8460 2.8726
0.0000 0.0000 0.0000
```

total moment = 4.02 Bohr magnetons per cell
energy relative to the lowest polymorph listed for this composition = 0.000 eV per atom
total DFT energy (no corrections) = -17.20 eV/cell
volume = 105.0 Å³/f.u.

No. 12
NbInCoNi: optimized geometry, PBE-GGA.

Geometry as POSCAR:
```
NbInCoNi
1.0
0.4376 0.6375 4.2608
-3.1248 -1.2768 2.7125
0.6652 -3.3703 2.6365
Nb Ni In Co
1 1 1 1
Cartesian
-1.0110 -2.0048 4.8049
-0.5055 -1.0024 2.4024
0.0000 0.0000 0.0000
-1.5165 -3.0073 7.2073
```

total moment = 0.91 Bohr magnetons per cell
energy relative to the lowest polymorph listed for this composition = 0.000 eV per atom
total DFT energy (no corrections) = -25.87 eV/cell
volume = 57.4 Å³/f.u.

No. 13
LaErCu2: optimized geometry, PBE-GGA.

Geometry as POSCAR:
```
LaErCu2
1.0
-1.5635 -1.7656 -5.0160
1.1793 -4.2072 1.1134
-6.6226 -1.1140 2.8051
Er La Cu
2 2 4
Cartesian
-2.2527 -4.6318 -1.4210
-4.7541 -2.4551 0.3236
-5.8553 -5.5899 -1.2254
-1.1514 -1.4970 0.1279
-6.0914 -4.9068 1.6059
-2.4453 -3.9163 1.4867
-0.9154 -2.1801 -2.7033
-4.5614 -3.1706 -2.5842
```

total moment = 0.00 Bohr magnetons per cell
energy relative to the lowest polymorph listed for this composition = 0.005 eV per atom
energy of formation from the pure elements = -0.868 eV/f.u.
total DFT energy (no corrections) = -35.58 eV/cell
volume = 90.9 Å³/f.u.

No. 14
BeCu2Pd: optimized geometry, PBE-GGA.

Geometry as POSCAR:
```
BeCu2Pd
1.0
-1.5453 2.5185 2.7713
-3.1368 2.3803 -0.9515
-3.6536 -0.7324 1.5891
Be Cu Pd
1 2 1
Cartesian
-4.1679 2.0832 1.7045
0.0000 0.0000 0.0000
-6.2518 3.1248 2.5567
-2.0839 1.0416 0.8522
```

total DFT energy (no corrections) = -16.95 eV/cell
volume = 47.0 Å³/f.u.

No. 15
NaLiOs: optimized geometry, PBE-GGA.

Geometry as POSCAR:
```
NaLiOs
1.0
-3.2328 -2.8507 0.6123
-2.7966 0.5539 3.2901
-4.1144 1.1670 -0.8135
Na Li Os
1 1 1
Cartesian
-2.5360 -0.2824 0.7722
0.0000 0.0000 0.0000
-7.6078 -0.8473 2.3166
```

total moment = 2.04 Bohr magnetons per cell
total DFT energy (no corrections) = -9.83 eV/cell
volume = 58.3 Å³/f.u.

No. 16
YAs2Pt: optimized geometry, PBE-GGA.

Geometry as POSCAR:
```
YAs2Pt
1.0
0.2079 -4.6883 -1.1266
-2.9578 -1.8084 -3.3577
1.7605 -1.3783 -4.2771
Y As Pt
1 2 1
Cartesian
-0.4947 -3.9375 -4.3807
0.0000 0.0000 0.0000
-0.2473 -1.9687 -2.1904
-0.7420 -5.9062 -6.5711
```

total moment = 0.01 Bohr magnetons per cell
total DFT energy (no corrections) = -23.65 eV/cell
volume = 79.5 Å³/f.u.

No. 17
NaAcOs: optimized geometry, PBE-GGA.

Geometry as POSCAR:
```
NaAcOs
1.0
4.9105 1.8165 2.9641
5.4992 2.1009 -1.2424
3.1861 5.0426 0.7868
Ac Na Os
1 1 1
Cartesian
12.3557 8.1428 2.2797
1.3418 0.8843 0.2476
9.0046 5.9343 1.6614
```

total moment = 0.12 Bohr magnetons per cell
energy relative to the lowest polymorph listed for this composition = 0.333 eV per atom
total DFT energy (no corrections) = -13.72 eV/cell
volume = 86.2 Å³/f.u.

No. 18
SrSiNiSn2: optimized geometry, PBE-GGA.

Geometry as POSCAR:
```
SrSiNiSn2
1.0
-2.2954 2.2954 5.2874
2.2954 -2.2954 5.2874
2.2954 2.2954 -5.2874
Si Sn Ni Sr
1 2 1 1
Cartesian
0.0000 0.0000 0.2015
2.2954 0.0000 3.6969
0.0000 2.2954 3.6969
0.0000 0.0000 2.4408
0.0000 0.0000 6.3092
```

total moment = 0.00 Bohr magnetons per cell
total DFT energy (no corrections) = -22.71 eV/cell
volume = 111.4 Å³/f.u.

No. 19
CoPW: optimized geometry, PBE-GGA.

Geometry as POSCAR:
```
CoPW
1.0
5.7829 0.0000 0.0000
0.0000 3.7413 0.0000
0.0000 0.0000 6.7459
Co P W
4 4 4
Cartesian
4.9695 2.8060 0.4691
2.0781 2.8060 2.9039
0.8134 0.9353 6.2768
3.7048 0.9353 3.8420
1.5484 0.9353 4.1888
1.3430 2.8060 0.8159
4.2345 2.8060 2.5571
4.4399 0.9353 5.9300
2.7049 2.8060 5.6068
3.0780 0.9353 1.1390
0.1865 0.9353 2.2339
5.5964 2.8060 4.5120
```

total moment = 0.01 Bohr magnetons per cell
total DFT energy (no corrections) = -107.24 eV/cell
volume = 36.5 Å³/f.u.

No. 20
PrNd2B2Ir2N3: optimized geometry, PBE-GGA.

Geometry as POSCAR:
```
PrNd2B2Ir2N3
1.0
7.9052 5.6024 -4.1812
4.5131 9.2663 -2.2647
-4.9329 -7.4817 5.5724
N B Nd Pr Ir
3 2 2 1 2
Cartesian
10.9233 13.0787 -5.6699
1.4950 1.7900 -0.7760
6.2091 7.4343 -3.2230
2.4021 2.8760 -1.2468
10.0162 11.9926 -5.1991
4.6751 5.5976 -2.4267
7.7432 9.2711 -4.0192
0.0000 0.0000 0.0000
4.5907 2.7775 -0.9159
2.8947 4.6094 0.0424
```

total moment = 0.00 Bohr magnetons per cell
total DFT energy (no corrections) = -81.68 eV/cell
volume = 146.0 Å³/f.u.